Record 1
Below is an optimized crystal structure of NdNi3As2, with properties calculated at the PBE level.

Values from the calculation:
Energy of formation from the pure elements in kJ/mol of atoms: -63.37
Calculated density in g/cm³: 8.1

Structure (POSCAR):
```
NdNi3As2
1.0
7.5001 -1.9679 0.0000
7.5001 1.9679 0.0000
-3.0384 0.0000 6.4953
Nd Ni As
2 6 4
direct
0.1498 0.1498 0.0691
0.8502 0.8502 0.9309
0.0415 0.0415 0.3831
0.3127 0.3127 0.5527
0.4057 0.4057 0.3336
0.5943 0.5943 0.6664
0.6873 0.6873 0.4473
0.9585 0.9585 0.6169
0.1910 0.1910 0.6807
0.4776 0.4776 0.8005
0.5224 0.5224 0.1995
0.8090 0.8090 0.3193
```



Record 2
Below is an optimized crystal structure of Zr2FeHW, with properties calculated at the PBE level.

Values from the calculation:
Calculated density in g/cm³: 9.6
Energy relative to the lowest polymorph listed for this composition in kcal/mol of atoms: 0.00

Structure (POSCAR):
```
Zr2FeHW
1.0
4.6327 0.0000 0.0000
0.0000 4.6327 0.0000
0.0000 0.0000 3.4041
Zr Fe H W
2 1 1 1
direct
0.0000 0.5000 0.0000
0.5000 0.0000 0.0000
0.0000 0.0000 0.5000
0.0000 0.0000 0.0000
0.5000 0.5000 0.5000
```



Record 3
Below is an optimized crystal structure of Na2Rh2O5, with properties calculated at the PBE level.

Values from the calculation:
Calculated density in g/cm³: 4.9
Uncorrected formation energy in eV per formula unit: -7.259

Structure (POSCAR):
```
Na2Rh2O5
1.0
0.0000 3.6135 5.6332
2.7649 0.0000 5.6332
2.7649 3.6135 0.0000
Na Rh O
2 2 5
direct
0.2074 0.2074 0.7926
0.7926 0.7926 0.2074
0.0000 0.0000 0.5000
0.5000 0.5000 0.0000
0.0000 0.0000 0.0000
0.1993 0.5633 0.4367
0.4367 0.8007 0.1993
0.5633 0.1993 0.8007
0.8007 0.4367 0.5633
```



Record 4
Below is an optimized crystal structure of SmErS, with properties calculated at the PBE level.

Values from the calculation:
Calculated density in g/cm³: 7.3
Uncorrected formation energy in eV per formula unit: -3.779

Structure (POSCAR):
```
SmErS
1.0
3.7973 0.0000 0.0000
-1.8986 3.2885 0.0000
0.0000 0.0000 6.3902
Sm Er S
1 1 1
direct
0.0000 0.0000 0.0000
0.3333 0.6667 0.5268
0.6667 0.3333 0.2754
```



Record 5
Below is an optimized crystal structure of YTi3Mo, with properties calculated at the PBE level.

Values from the calculation:
Energy of formation from the pure elements in kJ/mol of atoms: 43.38
Calculated density in g/cm³: 4.9
Energy relative to the lowest polymorph listed for this composition in kcal/mol of atoms: 0.00

Structure (POSCAR):
```
YTi3Mo
1.0
4.8226 0.0000 0.0000
0.0000 4.8226 0.0000
0.0000 0.0000 4.8226
Y Ti Mo
1 3 1
direct
0.0000 0.0000 0.0000
0.0000 0.5000 0.5000
0.5000 0.0000 0.5000
0.5000 0.5000 0.0000
0.5000 0.5000 0.5000
```



Record 6
Below is an optimized crystal structure of Ce6C3ICl2, with properties calculated at the PBE level.

Values from the calculation:
Calculated density in g/cm³: 6.7
Uncorrected formation energy in eV per formula unit: -10.097

Structure (POSCAR):
```
Ce6C3ICl2
1.0
9.1689 -1.8603 0.0000
9.1689 1.8603 0.0000
-3.5251 0.0000 7.7986
Ce C I Cl
6 3 1 2
direct
0.0136 0.0136 0.2080
0.3164 0.3164 0.4487
0.3471 0.3471 0.8836
0.6529 0.6529 0.1164
0.6836 0.6836 0.5513
0.9864 0.9864 0.7920
0.1661 0.1661 0.3305
0.5000 0.5000 0.0000
0.8339 0.8339 0.6695
0.5000 0.5000 0.5000
0.1700 0.1700 0.8380
0.8300 0.8300 0.1620
```



Record 7
Below is an optimized crystal structure of HoH4Pd2Rh, with properties calculated at the PBE level.

Values from the calculation:
Final energy in eV per atom: -4.89
Calculated density in g/cm³: 9.5

Structure (POSCAR):
```
HoH4Pd2Rh
1.0
0.0000 3.0755 4.4905
3.0628 0.0000 4.4905
3.0628 3.0755 0.0000
Ho H Pd Rh
1 4 2 1
direct
0.0000 0.0000 0.0000
0.1649 0.5457 0.4543
0.4559 0.8354 0.5441
0.5457 0.1649 0.8351
0.8354 0.4559 0.1646
0.2498 0.2498 0.2502
0.7498 0.7498 0.7502
0.5000 0.5000 0.5000
```



Record 8
Below is an optimized crystal structure of Th2Si2HOs2, with properties calculated at the PBE level.

Values from the calculation:
Final energy in eV per atom: -7.92
Calculated density in g/cm³: 12.2

Structure (POSCAR):
```
Th2Si2HOs2
1.0
10.6223 0.0000 0.0000
0.0000 4.2768 0.0000
-4.3627 0.0000 5.4173
Th Si H Os
4 4 2 4
direct
0.0604 0.0000 0.3326
0.4396 0.5000 0.6674
0.5604 0.5000 0.3326
0.9396 0.0000 0.6674
0.1545 0.5000 0.0979
0.3455 0.0000 0.9021
0.6545 0.0000 0.0979
0.8455 0.5000 0.9021
0.0000 0.5000 0.5000
0.5000 0.0000 0.5000
0.2169 0.5000 0.8114
0.2831 0.0000 0.1886
0.7169 0.0000 0.8114
0.7831 0.5000 0.1886
```



Record 9
Below is an optimized crystal structure of BaZrAlAs2, with properties calculated at the PBE level.

Values from the calculation:
Energy of formation from the pure elements in kJ/mol of atoms: 154.04
Calculated density in g/cm³: 3.6

Structure (POSCAR):
```
BaZrAlAs2
1.0
5.7286 0.0000 0.0000
0.0000 5.7286 0.0000
0.0000 0.0000 5.6947
Ba Zr Al As
1 1 1 2
direct
0.0000 0.0000 0.0000
0.0000 0.0000 0.5000
0.5000 0.5000 0.5000
0.0000 0.5000 0.0000
0.5000 0.0000 0.0000
```



Record 10
Below is an optimized crystal structure of YFe2Pt, with properties calculated at the PBE level.

Values from the calculation:
Energy of formation from the pure elements in kJ/mol of atoms: -3.38
Calculated density in g/cm³: 8.6

Structure (POSCAR):
```
YFe2Pt
1.0
3.7015 0.0000 0.0000
0.0000 4.4586 0.0000
-0.3009 0.0000 4.6428
Y Fe Pt
1 2 1
direct
0.0000 0.0000 0.0000
0.4486 0.5000 0.7598
0.5514 0.5000 0.2402
0.5000 0.0000 0.5000
```



Record 11
Below is an optimized crystal structure of Pu7PI12, with properties calculated at the PBE level.

Values from the calculation:
Calculated density in g/cm³: 6.9
Uncorrected formation energy in eV per formula unit: -21.340

Structure (POSCAR):
```
Pu7PI12
1.0
7.9297 4.5782 3.6041
-7.9297 4.5782 3.6041
0.0000 -9.1564 3.6041
Pu P I
7 1 12
direct
0.0000 0.0000 0.0000
0.1853 0.4716 0.3992
0.3992 0.1853 0.4716
0.4716 0.3992 0.1853
0.5284 0.6008 0.8147
0.6008 0.8147 0.5284
0.8147 0.5284 0.6008
0.5000 0.5000 0.5000
0.0382 0.1166 0.3501
0.1166 0.3501 0.0382
0.1810 0.5767 0.7322
0.2678 0.8190 0.4233
0.3501 0.0382 0.1166
0.4233 0.2678 0.8190
0.5767 0.7322 0.1810
0.6499 0.9618 0.8834
0.7322 0.1810 0.5767
0.8190 0.4233 0.2678
0.8834 0.6499 0.9618
0.9618 0.8834 0.6499
```



Record 12
Below is an optimized crystal structure of La2Tb7Tm, with properties calculated at the PBE level.

Values from the calculation:
Energy of formation from the pure elements in kJ/mol of atoms: 14.90
Calculated density in g/cm³: 7.7
Energy relative to the lowest polymorph listed for this composition in kcal/mol of atoms: 2.32

Structure (POSCAR):
```
La2Tb7Tm
1.0
3.3005 -14.5086 0.0000
3.3005 14.5086 0.0000
0.0000 0.0000 3.5058
La Tb Tm
2 7 1
direct
0.2056 0.7944 0.0000
0.7944 0.2056 0.0000
0.0000 0.0000 0.0000
0.1595 0.3527 0.0000
0.3158 0.6842 0.5000
0.3527 0.1595 0.0000
0.6473 0.8405 0.0000
0.6842 0.3158 0.5000
0.8405 0.6473 0.0000
0.5000 0.5000 0.5000
```



Question: Number 10 is which compound?
Answer: YFe2Pt